A.
Density functional theory data (PBE) for an optimized crystal structure of LiGdEr.

abc: 3.4645 3.4645 8.3270
angles: 90.00 90.00 120.00
Last column: magnetic moment on the atom in μB.
Positions (direct):
Gd 0.6667 0.3333 0.3325  7.18
Li 0.0000 0.0000 0.9973  0.00
Er 0.3333 0.6667 0.6703  -0.01

Properties
Total magnetic moment: 7.41 μB per formula unit

=====

B.
Density functional theory data (PBE) for an optimized crystal structure of LiGdEr.

abc: 3.6517 3.6517 6.7335
angles: 105.73 105.73 90.00
Last column: magnetic moment on the atom in μB.
Positions (direct):
Er 0.0127 0.0127 0.0254  -0.20
Gd 0.3236 0.3236 0.6471  -7.32
Li 0.6637 0.6637 0.3274  0.01

Properties
Total magnetic moment: 7.95 μB per formula unit

=====

Which one is most stable, and which one is least stable? B is the most stable of them, while A is the least stable.

=====

A.
Density functional theory data (PBE) for an optimized crystal structure of Gd2ErMg.

abc: 3.4408 3.4408 12.4193
angles: 82.04 82.04 60.00
Last column: magnetic moment on the atom in μB.
Positions (direct):
Mg 0.0000 0.0000 0.0000  0.00
Gd 0.0894 0.0894 0.7319  -7.19
Gd 0.9106 0.9106 0.2681  -7.19
Er 0.5000 0.5000 0.5000  0.15

Properties
Total magnetic moment: 14.61 μB per formula unit

=====

B.
Density functional theory data (PBE) for an optimized crystal structure of Gd2ErMg.

abc: 3.5846 3.5846 9.3162
angles: 90.00 90.00 90.00
Last column: magnetic moment on the atom in μB.
Positions (direct):
Mg 0.5000 0.5000 0.0000  0.00
Gd 0.0000 0.0000 0.7624  7.17
Gd 0.0000 0.0000 0.2376  7.17
Er 0.5000 0.5000 0.5000  0.06

Properties
Total magnetic moment: 14.94 μB per formula unit

=====

C.
Density functional theory data (PBE) for an optimized crystal structure of Gd2ErMg.

abc: 4.8440 4.9716 4.9716
angles: 90.00 90.00 90.00
Last column: magnetic moment on the atom in μB.
Positions (direct):
Mg 0.5000 0.0000 0.0000  0.00
Gd 0.0000 0.0000 0.5000  7.35
Gd 0.0000 0.5000 0.0000  7.35
Er 0.5000 0.5000 0.5000  0.34

Properties
Total magnetic moment: 15.90 μB per formula unit

=====

D.
Density functional theory data (PBE) for an optimized crystal structure of Gd2ErMg.

abc: 5.5035 5.5035 5.5035
angles: 60.00 60.00 60.00
Last column: magnetic moment on the atom in μB.
Positions (direct):
Mg 0.5000 0.5000 0.5000  -0.01
Gd 0.2500 0.2500 0.2500  7.17
Gd 0.7500 0.7500 0.7500  7.17
Er 0.0000 0.0000 0.0000  0.11

Properties
Total magnetic moment: 14.89 μB per formula unit

=====

Which one is most stable, and which one is least stable? B is the most stable of them, while A is the least stable.

=====

A.
Density functional theory data (PBE) for an optimized crystal structure of NaGdEr2.

abc: 3.5168 3.5168 10.4649
angles: 90.00 90.00 90.00
Last column: magnetic moment on the atom in μB.
Positions (direct):
Na 0.5000 0.5000 0.5000  0.00
Gd 0.5000 0.5000 0.0000  -7.12
Er 0.0000 0.0000 0.7692  0.06
Er 0.0000 0.0000 0.2308  0.06

Properties
Total magnetic moment: 7.14 μB per formula unit

=====

B.
Density functional theory data (PBE) for an optimized crystal structure of NaGdEr2.

abc: 3.4754 3.4754 12.7893
angles: 82.19 82.19 60.00
Last column: magnetic moment on the atom in μB.
Positions (direct):
Na 0.0000 0.0000 0.0000  0.00
Gd 0.5000 0.5000 0.5000  7.14
Er 0.0917 0.0917 0.7249  -0.02
Er 0.9083 0.9083 0.2751  -0.02

Properties
Total magnetic moment: 7.32 μB per formula unit

=====

Which one is most stable, and which one is least stable? A is the most stable of them, while B is the least stable.

=====

A.
Density functional theory data (PBE) for an optimized crystal structure of NaGd2Er.

abc: 3.5014 3.5014 10.7216
angles: 90.00 90.00 90.00
Last column: magnetic moment on the atom in μB.
Positions (direct):
Na 0.5000 0.5000 0.5000  0.00
Gd 0.0000 0.0000 0.7697  7.21
Gd 0.0000 0.0000 0.2303  7.21
Er 0.5000 0.5000 0.0000  0.01

Properties
Total magnetic moment: 14.88 μB per formula unit

=====

B.
Density functional theory data (PBE) for an optimized crystal structure of NaGd2Er.

abc: 3.5089 3.5089 12.7959
angles: 82.12 82.12 60.00
Last column: magnetic moment on the atom in μB.
Positions (direct):
Na 0.0000 0.0000 0.0000  0.00
Gd 0.0924 0.0924 0.7228  7.21
Gd 0.9076 0.9076 0.2772  7.21
Er 0.5000 0.5000 0.5000  -0.10

Properties
Total magnetic moment: 14.91 μB per formula unit

=====

Which one is most stable, and which one is least stable? A is the most stable of them, while B is the least stable.

=====

A.
Density functional theory data (PBE) for an optimized crystal structure of NaGdEr.

abc: 3.5292 3.5292 8.3981
angles: 102.13 102.13 90.00
Last column: magnetic moment on the atom in μB.
Positions (direct):
Na 0.0017 0.0017 0.0034  0.00
Gd 0.3228 0.3228 0.6456  7.30
Er 0.6755 0.6755 0.3510  0.17

Properties
Total magnetic moment: 7.82 μB per formula unit

=====

B.
Density functional theory data (PBE) for an optimized crystal structure of NaGdEr.

abc: 3.5226 3.5226 9.2052
angles: 90.00 90.00 120.00
Last column: magnetic moment on the atom in μB.
Positions (direct):
Na 0.0000 0.0000 0.9974  0.00
Gd 0.6667 0.3333 0.3519  7.21
Er 0.3333 0.6667 0.6507  0.06

Properties
Total magnetic moment: 7.61 μB per formula unit

=====

Which one is most stable, and which one is least stable? B is the most stable of them, while A is the least stable.

=====

A.
Density functional theory data (PBE) for an optimized crystal structure of Gd2ErNi.

abc: 3.4949 3.4949 8.4847
angles: 90.00 90.00 90.00
Last column: magnetic moment on the atom in μB.
Positions (direct):
Ni 0.5000 0.5000 0.0000  0.04
Gd 0.0000 0.0000 0.8085  7.08
Gd 0.0000 0.0000 0.1915  7.08
Er 0.5000 0.5000 0.5000  0.18

Properties
Total magnetic moment: 14.78 μB per formula unit

=====

B.
Density functional theory data (PBE) for an optimized crystal structure of Gd2ErNi.

abc: 3.6115 3.6115 10.5232
angles: 80.12 80.12 60.00
Last column: magnetic moment on the atom in μB.
Positions (direct):
Ni 0.5000 0.5000 0.5000  -0.04
Gd 0.1107 0.1107 0.6679  7.13
Gd 0.8893 0.8893 0.3321  7.13
Er 0.0000 0.0000 0.0000  0.26

Properties
Total magnetic moment: 15.11 μB per formula unit

=====

Which one is most stable, and which one is least stable? A is the most stable of them, while B is the least stable.

=====

A.
Density functional theory data (PBE) for an optimized crystal structure of Gd2ErOs.

abc: 3.4639 3.4639 10.9591
angles: 80.91 80.91 60.00
Last column: magnetic moment on the atom in μB.
Positions (direct):
Gd 0.1045 0.1045 0.6865  7.17
Gd 0.8955 0.8955 0.3135  7.17
Os 0.5000 0.5000 0.5000  -0.27
Er 0.0000 0.0000 0.0000  0.30

Properties
Total magnetic moment: 15.00 μB per formula unit

=====

B.
Density functional theory data (PBE) for an optimized crystal structure of Gd2ErOs.

abc: 3.4043 3.4043 9.3423
angles: 90.00 90.00 90.00
Last column: magnetic moment on the atom in μB.
Positions (direct):
Gd 0.0000 0.0000 0.8184  7.03
Gd 0.0000 0.0000 0.1816  7.03
Os 0.5000 0.5000 0.0000  -0.15
Er 0.5000 0.5000 0.5000  0.03

Properties
Total magnetic moment: 14.23 μB per formula unit

=====

Which one is most stable, and which one is least stable? B is the most stable of them, while A is the least stable.

=====

A.
Density functional theory data (PBE) for an optimized crystal structure of GdErOs.

abc: 4.7775 4.7775 4.7775
angles: 60.00 60.00 60.00
Last column: magnetic moment on the atom in μB.
Positions (direct):
Gd 0.5000 0.5000 0.5000  7.05
Os 0.2500 0.2500 0.2500  -0.06
Er 0.0000 0.0000 0.0000  0.00

Properties
Total magnetic moment: 7.10 μB per formula unit

=====

B.
Density functional theory data (PBE) for an optimized crystal structure of GdErOs.

abc: 3.3911 3.3911 7.0152
angles: 103.99 103.99 90.00
Last column: magnetic moment on the atom in μB.
Positions (direct):
Gd 0.0397 0.0397 0.0794  7.01
Os 0.6688 0.6688 0.3376  -0.08
Er 0.2915 0.2915 0.5831  0.02

Properties
Total magnetic moment: 7.06 μB per formula unit

=====

Which one is most stable, and which one is least stable? B is the most stable of them, while A is the least stable.

=====

A.
Density functional theory data (PBE) for an optimized crystal structure of GdErPb2.

abc: 4.0555 4.0555 6.9185
angles: 90.00 90.00 90.00
Last column: magnetic moment on the atom in μB.
Positions (direct):
Pb 0.0000 0.0000 0.7570  0.00
Pb 0.0000 0.0000 0.2430  0.00
Gd 0.5000 0.5000 0.5000  -7.27
Er 0.5000 0.5000 0.0000  -0.19

Properties
Total magnetic moment: 7.84 μB per formula unit

=====

B.
Density functional theory data (PBE) for an optimized crystal structure of GdErPb2.

abc: 4.4621 5.0335 5.0335
angles: 90.00 90.00 90.00
Last column: magnetic moment on the atom in μB.
Positions (direct):
Pb 0.0000 0.0000 0.5000  0.03
Pb 0.0000 0.5000 0.0000  0.03
Gd 0.5000 0.0000 0.0000  -7.20
Er 0.5000 0.5000 0.5000  -0.32

Properties
Total magnetic moment: 7.81 μB per formula unit

=====

Which one is most stable, and which one is least stable? B is the most stable of them, while A is the least stable.

=====

A.
Density functional theory data (PBE) for an optimized crystal structure of GdEr2Pb.

abc: 4.7964 4.8722 4.8722
angles: 90.00 90.00 90.00
Last column: magnetic moment on the atom in μB.
Positions (direct):
Pb 0.5000 0.0000 0.0000  -0.03
Gd 0.5000 0.5000 0.5000  7.24
Er 0.0000 0.0000 0.5000  0.14
Er 0.0000 0.5000 0.0000  0.14

Properties
Total magnetic moment: 7.77 μB per formula unit

=====

B.
Density functional theory data (PBE) for an optimized crystal structure of GdEr2Pb.

abc: 4.1491 4.1491 6.8213
angles: 90.00 90.00 90.00
Last column: magnetic moment on the atom in μB.
Positions (direct):
Pb 0.5000 0.5000 0.0000  0.01
Gd 0.5000 0.5000 0.5000  -7.22
Er 0.0000 0.0000 0.7652  -0.17
Er 0.0000 0.0000 0.2348  -0.17

Properties
Total magnetic moment: 7.97 μB per formula unit

=====

Which one is most stable, and which one is least stable? A is the most stable of them, while B is the least stable.

=====

A.
Density functional theory data (PBE) for an optimized crystal structure of GdErPd.

abc: 4.8886 4.8886 4.8886
angles: 60.00 60.00 60.00
Last column: magnetic moment on the atom in μB.
Positions (direct):
Gd 0.0000 0.0000 0.0000  7.06
Pd 0.2500 0.2500 0.2500  -0.01
Er 0.5000 0.5000 0.5000  0.06

Properties
Total magnetic moment: 7.26 μB per formula unit

=====

B.
Density functional theory data (PBE) for an optimized crystal structure of GdErPd.

abc: 3.5701 3.5701 6.4214
angles: 106.14 106.14 90.00
Last column: magnetic moment on the atom in μB.
Positions (direct):
Gd 0.0208 0.0208 0.0416  7.29
Pd 0.6736 0.6736 0.3473  0.03
Er 0.3056 0.3056 0.6111  0.27

Properties
Total magnetic moment: 7.99 μB per formula unit

=====

Which one is most stable, and which one is least stable? B is the most stable of them, while A is the least stable.

=====

A.
Density functional theory data (PBE) for an optimized crystal structure of GdEr2Pd.

abc: 3.5406 3.5406 8.4830
angles: 90.00 90.00 90.00
Last column: magnetic moment on the atom in μB.
Positions (direct):
Gd 0.5000 0.5000 0.5000  7.26
Pd 0.5000 0.5000 0.0000  0.00
Er 0.0000 0.0000 0.8048  0.07
Er 0.0000 0.0000 0.1952  0.07

Properties
Total magnetic moment: 7.76 μB per formula unit

=====

B.
Density functional theory data (PBE) for an optimized crystal structure of GdEr2Pd.

abc: 3.6380 3.6380 9.9872
angles: 79.51 79.51 60.00
Last column: magnetic moment on the atom in μB.
Positions (direct):
Gd 0.5000 0.5000 0.5000  7.20
Pd 0.0000 0.0000 0.0000  -0.01
Er 0.2679 0.2679 0.1963  -0.02
Er 0.7321 0.7321 0.8037  -0.02

Properties
Total magnetic moment: 7.45 μB per formula unit

=====

Which one is most stable, and which one is least stable? A is the most stable of them, while B is the least stable.

=====

A.
Density functional theory data (PBE) for an optimized crystal structure of Gd2ErPd.

abc: 3.6807 3.6807 9.9772
angles: 79.37 79.37 60.00
Last column: magnetic moment on the atom in μB.
Positions (direct):
Gd 0.7339 0.7339 0.7984  7.05
Gd 0.2661 0.2661 0.2016  7.05
Pd 0.0000 0.0000 0.0000  -0.01
Er 0.5000 0.5000 0.5000  -0.03

Properties
Total magnetic moment: 14.32 μB per formula unit

=====

B.
Density functional theory data (PBE) for an optimized crystal structure of Gd2ErPd.

abc: 3.6147 3.6147 8.3174
angles: 90.00 90.00 90.00
Last column: magnetic moment on the atom in μB.
Positions (direct):
Gd 0.0000 0.0000 0.7969  -7.08
Gd 0.0000 0.0000 0.2031  -7.08
Pd 0.5000 0.5000 0.0000  0.00
Er 0.5000 0.5000 0.5000  -0.15

Properties
Total magnetic moment: 14.73 μB per formula unit

=====

Which one is most stable, and which one is least stable? B is the most stable of them, while A is the least stable.

=====

A.
Density functional theory data (PBE) for an optimized crystal structure of PmGd2Er.

abc: 5.0721 5.0525 5.0525
angles: 90.00 90.00 90.00
Last column: magnetic moment on the atom in μB.
Positions (direct):
Gd 0.0000 0.0000 0.5000  7.14
Gd 0.0000 0.5000 0.0000  7.14
Pm 0.5000 0.5000 0.5000  -0.07
Er 0.5000 0.0000 0.0000  -0.02

Properties
Total magnetic moment: 14.58 μB per formula unit

=====

B.
Density functional theory data (PBE) for an optimized crystal structure of PmGd2Er.

abc: 5.6981 5.6981 5.6981
angles: 60.00 60.00 60.00
Last column: magnetic moment on the atom in μB.
Positions (direct):
Gd 0.2500 0.2500 0.2500  7.33
Gd 0.7500 0.7500 0.7500  7.33
Pm 0.0000 0.0000 0.0000  0.24
Er 0.5000 0.5000 0.5000  0.26

Properties
Total magnetic moment: 16.19 μB per formula unit

=====

Which one is most stable, and which one is least stable? A is the most stable of them, while B is the least stable.